i:
Ac2ScIn | Alexandria via LeMat-Bulk | PBE-GGA | relaxed; space group = No. 225
1.0
5.7786 0.0000 0.0000
2.8893 5.0045 0.0000
2.8893 1.6682 4.7182
Sc Ac In
1 2 1
Direct
0.0000 0.0000 0.0000 Sc
0.2500 0.2500 0.2500 Ac
0.7500 0.7500 0.7500 Ac
0.5000 0.5000 0.5000 In



ii:
Ac2ScIn | Alexandria via LeMat-Bulk | PBE-GGA | relaxed; space group = No. 166
1.0
3.7043 0.0000 0.0000
1.8521 3.2080 0.0000
1.8521 1.0693 12.5448
Sc Ac In
1 2 1
Direct
0.5000 0.5000 0.5000 Sc
0.0918 0.0918 0.7247 Ac
0.9082 0.9082 0.2753 Ac
0.0000 0.0000 0.0000 In



iii:
Ac2ScIn | Alexandria via LeMat-Bulk | PBE-GGA | relaxed; space group = No. 123
1.0
-3.3751 -2.4180 -0.6188
2.2530 -3.3994 0.9947
-2.0060 0.8734 7.5287
Sc Ac In
1 2 1
Direct
0.5000 0.5000 0.5000 Sc
0.0000 0.0000 0.7556 Ac
0.0000 0.0000 0.2444 Ac
0.5000 0.5000 0.0000 In



iv:
Ac2ScIn | Alexandria via LeMat-Bulk | PBE-GGA | relaxed; space group = No. 123
1.0
5.0146 0.0000 0.0000
0.0000 5.1705 0.0000
0.0000 0.0000 5.1705
Sc Ac In
1 2 1
Direct
0.5000 0.0000 0.0000 Sc
0.0000 0.0000 0.5000 Ac
0.0000 0.5000 0.0000 Ac
0.5000 0.5000 0.5000 In



Verdict on stability: ii comes out at the bottom.



i:
AcSc2In | Alexandria via LeMat-Bulk | PBE-GGA | relaxed; space group = No. 225
1.0
5.3706 0.0000 0.0000
2.6853 4.6511 0.0000
2.6853 1.5504 4.3851
Sc Ac In
2 1 1
Direct
0.2500 0.2500 0.2500 Sc
0.7500 0.7500 0.7500 Sc
0.0000 0.0000 0.0000 Ac
0.5000 0.5000 0.5000 In



ii:
AcSc2In | Alexandria via LeMat-Bulk | PBE-GGA | relaxed; space group = No. 160
1.0
-1.7924 4.6091 -0.5598
-2.2143 2.2904 3.8237
3.8222 4.5078 2.7522
Ac Sc In
1 2 1
Direct
0.4912 0.4912 0.5264 Ac
0.0354 0.0354 0.8939 Sc
0.2816 0.2816 0.1552 Sc
0.6918 0.6918 0.9245 In



iii:
AcSc2In | Alexandria via LeMat-Bulk | PBE-GGA | relaxed; space group = No. 123
1.0
4.7763 0.0000 0.0000
0.0000 4.8807 0.0000
0.0000 0.0000 4.8807
Sc Ac In
2 1 1
Direct
0.0000 0.0000 0.5000 Sc
0.0000 0.5000 0.0000 Sc
0.5000 0.5000 0.5000 Ac
0.5000 0.0000 0.0000 In



Verdict on stability: i comes out at the bottom.



i:
Ac2InSe | Alexandria via LeMat-Bulk | PBE-GGA | relaxed; space group = No. 166
1.0
4.4577 0.0000 0.0000
2.2289 3.8605 0.0000
2.2289 1.2868 8.3131
Ac Se In
2 1 1
Direct
0.2567 0.2567 0.2299 Ac
0.7433 0.7433 0.7701 Ac
0.0000 0.0000 0.0000 Se
0.5000 0.5000 0.5000 In



ii:
Ac2InSe | Alexandria via LeMat-Bulk | PBE-GGA | relaxed; space group = No. 123
1.0
3.8316 0.0000 0.0000
0.0000 3.8316 0.0000
0.0000 0.0000 8.6111
Ac Se In
2 1 1
Direct
0.0000 0.0000 0.7658 Ac
0.0000 0.0000 0.2342 Ac
0.5000 0.5000 0.0000 Se
0.5000 0.5000 0.5000 In



iii:
Ac2InSe | Alexandria via LeMat-Bulk | PBE-GGA | relaxed; space group = No. 63
1.0
-1.2672 3.1365 -3.0468
-3.5766 -2.7760 -1.3701
-5.7474 6.8003 9.3909
Ac In Se
4 2 2
Direct
0.7500 0.6838 0.3677 Ac
0.2500 0.3162 0.6323 Ac
0.7500 0.9297 0.8594 Ac
0.2500 0.0703 0.1406 Ac
0.2500 0.4607 0.9214 In
0.7500 0.5393 0.0786 In
0.2500 0.1934 0.3868 Se
0.7500 0.8066 0.6132 Se



Verdict on stability: ii comes out at the bottom.



i:
Ac3InSi | Alexandria via LeMat-Bulk | PBE-GGA | relaxed; space group = No. 221
1.0
5.9351 0.0000 0.0000
0.0000 5.9351 0.0000
0.0000 0.0000 5.9351
Ac Si In
3 1 1
Direct
0.0000 0.5000 0.0000 Ac
0.0000 0.0000 0.5000 Ac
0.5000 0.0000 0.0000 Ac
0.0000 0.0000 0.0000 Si
0.5000 0.5000 0.5000 In



ii:
Ac3InSi | Alexandria via LeMat-Bulk | PBE-GGA | relaxed; space group = No. 14
1.0
-4.1443 -5.4889 4.6324
7.3102 -0.8058 5.5852
-6.7971 7.3756 2.6583
Ac In Si
12 4 4
Direct
0.1859 0.6143 0.8078 Ac
0.8141 0.3857 0.1922 Ac
0.6859 0.8857 0.1922 Ac
0.3141 0.1143 0.8078 Ac
0.6762 0.4888 0.8509 Ac
0.3238 0.5112 0.1491 Ac
0.1762 0.0112 0.1491 Ac
0.8238 0.9888 0.8509 Ac
0.0073 0.2142 0.5649 Ac
0.9927 0.7858 0.4351 Ac
0.5073 0.2858 0.4351 Ac
0.4927 0.7142 0.5649 Ac
0.8479 0.5583 0.5888 In
0.1521 0.4417 0.4112 In
0.3479 0.9417 0.4112 In
0.6521 0.0583 0.5888 In
0.0167 0.3576 0.9190 Si
0.9833 0.6424 0.0810 Si
0.5167 0.1424 0.0810 Si
0.4833 0.8576 0.9190 Si



Verdict on stability: i comes out at the bottom.



i:
Ac6InSi2 | Alexandria via LeMat-Bulk | PBE-GGA | relaxed; space group = No. 12
1.0
6.2858 0.0000 0.0000
3.1429 6.2026 -1.1997
3.1429 1.2899 8.1113
Ac In Si
6 1 2
Direct
0.7002 0.7153 0.8844 Ac
0.2998 0.2847 0.1156 Ac
0.9774 0.8638 0.1815 Ac
0.3973 0.7608 0.4447 Ac
0.0226 0.1362 0.8185 Ac
0.6027 0.2392 0.5553 Ac
0.0000 0.5000 0.5000 In
0.2744 0.6246 0.8266 Si
0.7256 0.3754 0.1734 Si



ii:
Ac6InSi2 | Alexandria via LeMat-Bulk | PBE-GGA | relaxed; space group = No. 71
1.0
8.8760 0.0437 -3.1445
-4.7102 7.6782 -2.7442
-0.0098 -0.0437 9.4165
Ac In Si
12 2 4
Direct
0.5433 0.7243 0.8190 Ac
0.4567 0.2757 0.1810 Ac
0.0947 0.2757 0.8190 Ac
0.9053 0.7243 0.1810 Ac
0.7954 0.7608 0.5561 Ac
0.2046 0.2392 0.4439 Ac
0.2046 0.7608 0.9654 Ac
0.7954 0.2392 0.0346 Ac
0.7040 0.3828 0.6788 Ac
0.2960 0.6172 0.3212 Ac
0.2960 0.9749 0.6788 Ac
0.7040 0.0251 0.3212 Ac
0.0000 0.5000 0.5000 In
0.0000 0.0000 0.0000 In
0.5000 0.3921 0.8921 Si
0.5000 0.6079 0.1079 Si
0.6213 0.0000 0.6213 Si
0.3787 0.0000 0.3787 Si



Verdict on stability: i comes out at the bottom.